{
  "formula": "HfNb2Pb",
  "functional": "PBE",
  "state": "relaxed",
  "lattice": [[4.841, 0.000, 0.000], [0.000, 3.557, 0.000], [0.000, 0.000, 9.543]],
  "species": ["Hf", "Hf", "Nb", "Nb", "Nb", "Nb", "Pb", "Pb"],
  "frac_coords": [[0.250, 0.000, 0.123], [0.750, 0.000, 0.877], [0.250, 0.000, 0.598], [0.250, 0.500, 0.372], [0.750, 0.000, 0.402], [0.750, 0.500, 0.628], [0.250, 0.500, 0.848], [0.750, 0.500, 0.152]],
  "e_tot_ev_per_atom": -8.444,
  "magnetic_moment_mub_per_atom": 0.00,
  "ef_ev_per_atom": 0.01
}